This record from Alexandria describes a relaxed structure of Ti5Sb2Rh. The functional is GGA-PBEsol.

Calculated values
Calculated total energy: -7.9118 eV/atom
ΔE_f (raw): -427 kJ/mol of formula units

extended XYZ file:
```
16
Lattice="-3.982 3.035 -1.152 -6.480 -4.279 -0.328 -3.145 2.716 6.568" Properties=species:S:1:pos:R:3 pbc="T T T"
Ti -4.926 2.581 0.911
Ti -5.363 -2.468 0.581
Sb -6.427 0.344 0.209
Ti -5.424 3.098 3.996
Ti -10.183 1.437 4.614
Ti -3.425 0.035 0.474
Sb -7.181 1.128 4.879
Sb -10.262 0.359 2.049
Sb -3.345 1.113 3.039
Ti -5.808 -0.023 2.832
Ti -8.245 3.940 4.507
Ti -8.184 -1.627 1.091
Rh -0.996 0.759 -0.288
Ti -8.682 -1.109 4.176
Ti -7.799 1.495 2.256
Rh -2.987 2.276 -0.864
```



This record from Alexandria describes a relaxed structure of KFe4Se. The functional is GGA-PBEsol.

Calculated values
Calculated total energy: -6.0393 eV/atom
ΔE_f (raw): 444 kJ/mol of formula units

extended XYZ file:
```
6
Lattice="5.091 0.000 0.000 2.546 4.409 0.000 2.546 1.470 4.157" Properties=species:S:1:pos:R:3 pbc="T T T"
Fe 6.336 2.221 1.570
K 7.637 4.409 3.118
Fe 5.091 4.377 1.570
Fe 3.846 2.221 1.570
Fe 5.091 2.939 3.603
Se 0.000 0.000 0.000
```



This record from Alexandria describes a relaxed structure of GaGe3Rh. The functional is GGA-PBEsol.

Calculated values
Formation energy: 5.3 kcal/mol of atoms
Calculated total energy: -5.0285 eV/atom

extended XYZ file:
```
5
Lattice="-2.487 3.737 1.492 -3.943 -1.913 -1.781 -0.803 -2.180 4.121" Properties=species:S:1:pos:R:3 pbc="T T T"
Ge -0.402 -1.090 2.060
Ga -3.617 -0.178 1.916
Ge -1.243 1.869 0.746
Rh 0.000 0.000 0.000
Ge -1.971 -0.956 -0.890
```



This record from Alexandria describes a relaxed structure of NaVN2. The functional is GGA-PBEsol.

Calculated values
Calculated total energy: -7.8295 eV/atom
ΔE_f (raw): -312 kJ/mol of formula units

extended XYZ file:
```
8
Lattice="-0.485 -0.078 -5.100 4.530 -2.159 2.176 0.448 -5.104 0.035" Properties=species:S:1:pos:R:3 pbc="T T T"
V 0.000 0.000 0.000
V 2.238 -4.966 -2.710
N 3.782 -6.086 1.575
N 3.211 -3.590 -2.092
N 0.959 -0.657 -1.368
Na -0.018 -2.591 -2.532
N 1.037 -4.348 -3.893
Na 2.256 -2.375 -0.178
```



This record from Alexandria describes a relaxed structure of FeAu3. The functional is GGA-PBEsol.

Calculated values
Formation energy: 5.2 kcal/mol of atoms
Calculated total energy: -4.9592 eV/atom

extended XYZ file:
```
4
Lattice="2.751 0.000 0.000 -0.917 5.176 0.000 -0.917 -2.588 4.482" Properties=species:S:1:pos:R:3 pbc="T T T"
Au 0.917 -1.294 2.241
Fe 0.000 0.000 0.000
Au -0.917 1.294 2.241
Au 0.917 2.588 0.000
```



This record from Alexandria describes a relaxed structure of Ca2AlH10IO8. The functional is GGA-PBEsol.

Calculated values
Calculated total energy: -5.5101 eV/atom

extended XYZ file:
```
22
Lattice="-1.136 -2.606 4.972 5.219 -0.508 -2.363 1.284 9.033 1.708" Properties=species:S:1:pos:R:3 pbc="T T T"
H -0.213 1.837 4.055
O 2.339 7.406 1.724
Al 0.039 -0.003 -0.017
H 0.539 4.628 2.406
Ca 2.140 6.663 3.948
H 1.896 1.753 -0.166
O 4.048 1.270 1.454
H 3.556 1.545 2.268
H 3.177 -0.865 3.309
O 3.106 -1.492 2.565
H 2.242 6.721 1.036
H 0.922 0.580 2.300
H 1.711 3.811 3.071
Ca 3.312 -0.755 0.338
I 2.242 1.765 4.381
H 4.528 5.315 2.003
O 1.483 4.696 2.690
O 3.725 5.088 4.676
O 5.162 5.939 2.404
H 3.595 4.132 4.519
O 1.721 0.820 -0.390
O 0.281 -0.027 1.880
```



Question: Among the records above, which one has the lowest calculated total energy?
Answer: Ti5Sb2Rh



Question: Number 6 is which compound?
Answer: Ca2AlH10IO8